Entry from the Alexandria database: crystalline VReMo3 at its relaxed geometry (GGA-PBE).

a b c (Å): 4.428 4.428 4.428
angles (deg): 90.00 90.00 90.00
Space group Pm-3m (No. 221)
One atom of each set of equivalent atoms:
V  0.000  0.000  0.000
Re  0.500  0.500  0.500
Mo  0.000  0.000  0.500

Summary:
Calculated total energy   -9.335 eV/atom
E_form   1477 meV/atom
E above lowest polymorph   94.7 kJ/mol of atoms

***

Entry from the Alexandria database: crystalline V3Re2Mo6 at its relaxed geometry (GGA-PBE).

a b c (Å): 27.934 4.374 2.715
angles (deg): 90.00 93.91 90.00
Space group C2/m (No. 12)
One atom of each set of equivalent atoms:
V  0.000  0.000  0.000
V  0.181  0.000  0.456
Re  0.044  0.500  0.361
Mo  0.090  0.000  0.733
Mo  0.137  0.500  0.093
Mo  0.227  0.500  0.822

Summary:
Calculated total energy   -10.777 eV/atom
E_form   -119 meV/atom

***

Entry from the Alexandria database: crystalline VRe2Mo3 at its relaxed geometry (GGA-PBE).

a b c (Å): 5.419 4.399 8.102
angles (deg): 90.00 109.48 90.00
Space group P2_1/m (No. 11)
One atom of each set of equivalent atoms:
V  0.125  0.250  0.250
Re  0.042  0.750  0.415
Re  0.204  0.750  0.084
Mo  0.288  0.250  0.918
Mo  0.375  0.750  0.750
Mo  0.455  0.250  0.582

Summary:
Calculated total energy   -11.162 eV/atom
E_form   -77 meV/atom
E above lowest polymorph   0.0 kJ/mol of atoms

***

Entry from the Alexandria database: crystalline V4ReMo2 at its relaxed geometry (GGA-PBE).

a b c (Å): 2.594 6.713 6.758
angles (deg): 117.01 95.11 97.97
Space group P-1 (No. 2)
One atom of each set of equivalent atoms:
V  0.101  0.071  0.361
V  0.242  0.649  0.219
Re  0.500  0.500  0.500
Mo  0.461  0.215  0.064

Summary:
Calculated total energy   -10.065 eV/atom
E_form   19 meV/atom
E above lowest polymorph   0.0 kJ/mol of atoms

***

Entry from the Alexandria database: crystalline VRe3Mo at its relaxed geometry (GGA-PBE).

a b c (Å): 4.437 4.437 4.437
angles (deg): 90.00 90.00 90.00
Space group Pm-3m (No. 221)
One atom of each set of equivalent atoms:
V  0.000  0.000  0.000
Re  0.000  0.000  0.500
Mo  0.500  0.500  0.500

Summary:
Calculated total energy   -9.848 eV/atom
E_form   1611 meV/atom
E above lowest polymorph   0.0 kJ/mol of atoms

***

Entry from the Alexandria database: crystalline V2ReMo at its relaxed geometry (GGA-PBE).

a b c (Å): 6.838 6.838 5.289
angles (deg): 90.00 90.00 90.00
Space group I-42d (No. 122)
One atom of each set of equivalent atoms:
V  0.244  0.750  0.125
Re  0.000  0.000  0.000
Mo  0.000  0.000  0.500

Summary:
Calculated total energy   -9.792 eV/atom
E_form   587 meV/atom
E above lowest polymorph   83.3 kJ/mol of atoms